1.
Here is an optimized crystal structure of Pr2SmDyMg from Alexandria via LeMat-Bulk. Energies are from PBE-GGA.

Total magnetization (Bohr magnetons per cell): 0.000
Calculated volume (Å³/cell): 331

Cell lengths 5.9739, 7.4442, 7.4460 Å; angles 90.00, 90.00, 90.00 degrees
Last column: nearest neighbours and their distance in Å.
Space group Pmma (No. 51)
One atom of each set of equivalent atoms:
1 Pr 0.2500 0.2177 0.1878 (multiplicity 4)  1 Dy 3.17, 1 Pr 3.24, 2 Mg 3.47
2 Sm 0.2500 0.0000 0.6513 (multiplicity 2)  6 Pr 3.60-3.81, 2 Sm 3.74
3 Dy 0.2500 0.5000 0.8686 (multiplicity 2)  2 Mg 3.12, 2 Pr 3.17
4 Mg 0.0000 0.5000 0.5000 (multiplicity 2)  2 Mg 2.99, 2 Dy 3.12

2.
Here is an optimized crystal structure of Pr6SmDy2Mg from Alexandria via LeMat-Bulk. Energies are from PBE-GGA.

Total magnetization (Bohr magnetons per cell): 0.000
Calculated volume (Å³/cell): 1365

Cell lengths 10.5010, 13.8531, 9.5328 Å; angles 90.00, 100.19, 90.00 degrees
Last column: nearest neighbours and their distance in Å.
Space group C2/c (No. 15)
One atom of each set of equivalent atoms:
1 Pr 0.0554 0.1173 0.0962 (multiplicity 8)  2 Mg 3.26-3.41, 3 Pr 3.34-3.58, 2 Dy 3.56-3.57
2 Pr 0.0895 0.3315 0.9241 (multiplicity 8)  4 Pr 3.44-3.83, 2 Dy 3.45-3.85, 2 Sm 3.67-3.69, 1 Mg 3.69
3 Pr 0.2470 0.2865 0.3279 (multiplicity 8)  1 Sm 3.30, 1 Mg 3.30, 3 Pr 3.42-3.59, 2 Dy 3.57-3.58
4 Sm 0.0000 0.4356 0.2500 (multiplicity 4)  4 Pr 3.30-3.67, 2 Dy 3.37
5 Dy 0.2336 0.4661 0.5942 (multiplicity 8)  2 Sm 3.37-3.76, 1 Mg 3.45, 6 Pr 3.45-3.74
6 Mg 0.0000 0.0977 0.7500 (multiplicity 4)  6 Pr 3.26-3.41, 2 Dy 3.45

3.
Here is an optimized crystal structure of PrSm4Dy2Mg from Alexandria via LeMat-Bulk. Energies are from PBE-GGA.

Total magnetization (Bohr magnetons per cell): 0.000
Calculated volume (Å³/cell): 258

Cell lengths 5.8530, 5.8530, 7.5380 Å; angles 90.00, 90.00, 90.00 degrees
Last column: nearest neighbours and their distance in Å.
Space group P4/mmm (No. 123)
One atom of each set of equivalent atoms:
1 Pr 0.0000 0.0000 0.0000 (multiplicity 1)  8 Sm 3.46, 2 Dy 3.77
2 Sm 0.0000 0.5000 0.2440 (multiplicity 4)  2 Mg 3.46, 2 Pr 3.46, 4 Dy 3.51, 2 Sm 3.68-3.86
3 Dy 0.0000 0.0000 0.5000 (multiplicity 1)  8 Sm 3.51, 2 Pr 3.77
4 Dy 0.5000 0.5000 0.5000 (multiplicity 1)  8 Sm 3.51, 2 Mg 3.77
5 Mg 0.5000 0.5000 0.0000 (multiplicity 1)  8 Sm 3.46, 2 Dy 3.77

4.
Here is an optimized crystal structure of PrSm6Dy2Mg from Alexandria via LeMat-Bulk. Energies are from PBE-GGA.

Total magnetization (Bohr magnetons per cell): 0.001
Calculated volume (Å³/cell): 1319

Cell lengths 9.3722, 15.8072, 8.9016 Å; angles 90.00, 91.09, 90.00 degrees
Last column: nearest neighbours and their distance in Å.
Space group C2/c (No. 15)
One atom of each set of equivalent atoms:
1 Pr 0.0000 0.0346 0.2500 (multiplicity 4)  4 Dy 3.40-3.70, 6 Sm 3.40-3.68
2 Sm 0.0412 0.1643 0.9490 (multiplicity 8)  2 Pr 3.40-3.63, 7 Sm 3.41-3.75, 1 Dy 3.43
3 Sm 0.1020 0.3687 0.0888 (multiplicity 8)  3 Dy 3.34-3.58, 2 Mg 3.35-3.47, 4 Sm 3.40-3.50
4 Sm 0.2488 0.2882 0.6987 (multiplicity 8)  1 Dy 3.39, 1 Mg 3.40, 6 Sm 3.40-3.75, 1 Pr 3.68
5 Dy 0.2282 0.4476 0.4440 (multiplicity 8)  2 Mg 3.24-3.50, 5 Sm 3.34-3.58, 1 Pr 3.40
6 Mg 0.0000 0.4412 0.7500 (multiplicity 4)  4 Dy 3.24-3.50, 6 Sm 3.35-3.47

| no. | energy (eV/atom) | calculated formation energy (meV/atom) |
| --- | --- | --- |
| 1 | -3.942 | 153 |
| 2 | -4.317 | 103 |
| 3 | -4.228 | 79 |
| 4 | -4.273 | 116 |